4
Lattice="3.3909 0.0001 0.0031 0.0001 3.3909 -0.0031 -0.0148 0.0148 8.8841" Properties=species:S:1:pos:R:3 comment="InHgPbAu (GGA-PBE, relaxed)" m_tot_mub_per_fu=0.00 mass_density_g_cm3=11.7 formation_energy_ev_per_fu=-0.2 crystal_system=monoclinic final_energy_ev_per_atom=-2.54 pbc="T T T"
Au 0.4911 2.8999 2.0995
In 2.1867 1.2043 3.9078
Hg 0.4918 2.8992 6.2614
Pb 2.1845 1.2065 0.0667